This record from Alexandria describes a geometry-optimized BaZnNiF7 structure. The functional is GGA+U.

Structure (POSCAR):
```
BaZnNiF7
1.0
9.993 0.000 0.000
0.000 5.645 0.028
0.000 0.499 9.616
F Ba Zn Ni
28 4 4 4
Cartesian
7.068 3.354 7.254
4.396 5.118 1.206
7.921 3.104 2.446
5.428 5.320 6.131
2.769 0.512 7.208
9.561 5.071 1.322
0.600 5.367 6.014
4.572 2.473 6.000
7.765 5.882 7.245
2.924 2.791 2.391
7.224 5.632 2.437
5.467 2.110 1.279
1.884 1.731 4.866
8.108 4.413 4.778
6.881 4.663 9.587
0.471 3.784 3.557
0.432 1.074 8.322
9.522 2.360 6.087
2.072 3.040 7.199
0.424 2.223 1.192
5.597 1.027 8.439
2.228 0.262 2.399
9.569 3.921 8.453
4.526 4.034 8.365
4.565 0.824 3.514
3.112 1.482 0.058
5.420 3.671 3.644
9.392 0.777 3.630
8.171 1.976 9.619
6.818 1.726 4.811
3.175 4.418 4.834
1.821 4.168 0.025
0.986 1.857 3.012
9.007 4.288 6.632
5.983 4.038 1.824
4.010 2.106 7.821
3.865 1.199 1.833
6.127 4.945 7.811
8.862 4.696 3.003
1.131 1.449 6.641
```

The volume is 13.6 A^3/atom. The raw total energy is -4.455 eV per atom.